{
  "formula": "CeTm2Au",
  "functional": "PBE",
  "state": "optimized geometry",
  "e_form_mev_per_atom": -383,
  "cell": [[-2.2434, -2.4123, 1.3631], [2.6630, -1.3926, 1.9181], [-1.7809, 5.1773, 6.2315]],
  "species": ["Tm", "Tm", "Au", "Ce"],
  "frac_coords": [[0.0000, 0.0000, 0.7933], [0.0000, 0.0000, 0.2067], [0.5000, 0.5000, 0.0000], [0.5000, 0.5000, 0.5000]]
}

{
  "formula": "Be2CuAgSn",
  "functional": "PBE",
  "state": "optimized geometry",
  "e_form_mev_per_atom": 606,
  "cell": [[-1.9251, 2.4699, -2.8411], [0.1206, -3.1489, -2.8193], [-4.3733, -1.5861, 1.5845]],
  "species": ["Be", "Be", "Cu", "Sn", "Ag"],
  "frac_coords": [[0.0000, 0.5000, 0.0000], [0.5000, 0.0000, 0.0000], [0.0000, 0.0000, 0.0000], [0.0000, 0.0000, 0.5000], [0.5000, 0.5000, 0.5000]]
}

{
  "formula": "Tl2GaSn2",
  "functional": "PBE",
  "state": "optimized geometry",
  "e_form_mev_per_atom": 242,
  "cell": [[4.3469, 0.0000, 0.0000], [0.0000, 4.3469, 0.0000], [2.1735, 2.1735, 7.9872]],
  "species": ["Tl", "Tl", "Sn", "Sn", "Ga"],
  "frac_coords": [[0.7500, 0.2500, 0.5000], [0.2500, 0.7500, 0.5000], [0.4086, 0.4086, 0.1827], [0.5914, 0.5914, 0.8173], [0.0000, 0.0000, 0.0000]]
}